A relaxed Eu2MgO crystal. Source: the Alexandria database, functional PBE.

Summary:
Uncorrected energy: -0.2971 Ha/atom
Theoretical density: 5.7 g/cm³
E_form (uncorrected): -1.3101 eV per atom

a b c (Å): 3.6490 3.6490 25.9561
angles (deg): 90.00 90.00 120.00
With the nearest neighbours (Å) after each atom.
Fractional coordinates of all 12 atoms:
Eu  0.0000  0.0000  0.2214  3 O 2.54
Eu  0.0000  0.0000  0.7786  3 O 2.54
Eu  0.3333  0.6667  0.4453  3 O 2.54
Eu  0.3333  0.6667  0.8880  3 O 2.54
Eu  0.6667  0.3333  0.1120  3 O 2.54
Eu  0.6667  0.3333  0.5547  3 O 2.54
Mg  0.0000  0.0000  0.0000  6 Eu 3.59, 6 Mg 3.65
Mg  0.3333  0.6667  0.6667  6 Eu 3.59, 6 Mg 3.65
Mg  0.6667  0.3333  0.3333  6 Eu 3.59, 6 Mg 3.65
O  0.0000  0.0000  0.5000  6 Eu 2.54
O  0.3333  0.6667  0.1667  6 Eu 2.54
O  0.6667  0.3333  0.8333  6 Eu 2.54



A relaxed Eu3MgO crystal. Source: the Alexandria database, functional PBE.

Summary:
Uncorrected energy: -0.3160 Ha/atom
Theoretical density: 6.1 g/cm³
E_form (uncorrected): -1.1232 eV per atom

a b c (Å): 5.1294 5.1294 5.1294
angles (deg): 90.00 90.00 90.00
With the nearest neighbours (Å) after each atom.
Fractional coordinates of all 5 atoms:
Eu  0.0000  0.0000  0.5000  2 O 2.56
Eu  0.0000  0.5000  0.0000  2 O 2.56
Eu  0.5000  0.0000  0.0000  2 O 2.56
Mg  0.5000  0.5000  0.5000  12 Eu 3.63
O  0.0000  0.0000  0.0000  6 Eu 2.56



A relaxed Eu2MgPtO6 crystal. Source: the Alexandria database, functional PBE.

Summary:
Uncorrected energy: -0.2907 Ha/atom
Theoretical density: 8.3 g/cm³
E_form (uncorrected): -2.1158 eV per atom

a b c (Å): 5.5271 5.6981 9.5937
angles (deg): 90.00 125.06 90.00
With the nearest neighbours (Å) after each atom.
Fractional coordinates of all 20 atoms:
Eu  0.2390  0.0549  0.2511  5 O 2.36-2.64
Eu  0.2390  0.4451  0.7511  5 O 2.36-2.64
Eu  0.7610  0.5549  0.2489  5 O 2.36-2.64
Eu  0.7610  0.9451  0.7489  5 O 2.36-2.64
Mg  0.5000  0.0000  0.0000  6 O 2.06-2.10
Mg  0.5000  0.5000  0.5000  6 O 2.06-2.10
Pt  0.0000  0.0000  0.5000  6 O 2.02-2.03
Pt  0.0000  0.5000  0.0000  6 O 2.02-2.03
O  0.1442  0.2054  0.9505  1 Pt 2.03, 1 Mg 2.10
O  0.1442  0.2946  0.4505  1 Pt 2.03, 1 Mg 2.10
O  0.2507  0.6975  0.9526  1 Pt 2.03, 1 Mg 2.09
O  0.2507  0.8025  0.4526  1 Pt 2.03, 1 Mg 2.09
O  0.3420  0.0310  0.7473  1 Pt 2.02, 1 Mg 2.06
O  0.3420  0.4690  0.2473  1 Pt 2.02, 1 Mg 2.06
O  0.6580  0.5310  0.7527  1 Pt 2.02, 1 Mg 2.06
O  0.6580  0.9690  0.2527  1 Pt 2.02, 1 Mg 2.06
O  0.7493  0.1975  0.5474  1 Pt 2.03, 1 Mg 2.09
O  0.7493  0.3025  0.0474  1 Pt 2.03, 1 Mg 2.09
O  0.8558  0.7054  0.5495  1 Pt 2.03, 1 Mg 2.10
O  0.8558  0.7946  0.0495  1 Pt 2.03, 1 Mg 2.10